This record from the Alexandria database describes crystalline Tb4TlAgO at its relaxed geometry. The functional is PBE.

abc: 6.7080 6.7132 8.3977
angles: 90.00 113.54 90.00
Fractional positions:
Tb  0.0801  0.7500  0.1601
Tb  0.4351  0.7500  0.8702
Ag  0.3793  0.2500  0.7587
Ag  0.6207  0.7500  0.2413
Tb  0.0000  0.5000  0.5000
Tb  0.5649  0.2500  0.1298
Tb  0.9199  0.2500  0.8399
Tl  0.1159  0.2500  0.2317
Tb  0.5000  0.0000  0.5000
Tb  0.5000  0.5000  0.5000
Tl  0.8841  0.7500  0.7683
O  0.7570  0.2500  0.5141
Tb  0.0000  0.0000  0.5000
O  0.2430  0.7500  0.4859

Formation energy (no corrections)   -979 meV/atom
Space-group type   Cmcm, No. 63
Spin magnetization   0.000 μB/cell
Calculated density   9.234 g cm⁻³